Entry 1:
Below is a relaxed AcPr7Mg2 crystal, with properties calculated at the PBE level.

Cell lengths 5.9834, 8.7433, 8.7433 Å; angles 114.70, 90.00, 90.00 degrees
With the nearest neighbours (Å) after each atom.
Element x y z (fractional)
Pr 0.5000 0.3103 0.0680  2 Mg 3.07-3.21, 1 Pr 3.43
Pr 0.5000 0.6897 0.9320  2 Mg 3.07-3.21, 1 Pr 3.43
Mg 0.5000 0.2909 0.7091  7 Pr 3.00-3.21
Mg 0.5000 0.7091 0.2909  7 Pr 3.00-3.21
Pr 0.0000 0.3068 0.6932  2 Mg 3.00
Pr 0.5000 0.0680 0.3103  2 Mg 3.07-3.21, 1 Pr 3.43
Pr 0.0000 0.6932 0.3068  2 Mg 3.00
Ac 0.0000 0.0000 0.0000  8 Pr 3.91
Pr 0.5000 0.5000 0.5000  2 Mg 3.08, 4 Pr 3.43
Pr 0.5000 0.9320 0.6897  2 Mg 3.07-3.21, 1 Pr 3.43

## Properties
E_form	0.503	eV/atom
theoretical density	5.04	g/cm³
E above lowest polymorph	3.682	eV/f.u.
M_tot	0.0000	μB per atom
total energy	-3.572	eV per atom

---

Entry 2:
Below is a relaxed AcPr2Mg9 crystal, with properties calculated at the PBE level.

Cell lengths 6.1745, 6.1745, 10.6289 Å; angles 73.11, 73.11, 60.00 degrees
With the nearest neighbours (Å) after each atom.
Element x y z (fractional)
Mg 0.9194 0.4144 0.2518  7 Mg 3.06-3.12
Mg 0.5856 0.5856 0.7482  7 Mg 3.06-3.12
Mg 0.6658 0.6658 0.0025  6 Mg 3.08-3.10
Ac 0.0000 0.0000 0.0000  18 Mg 3.56-3.99
Mg 0.5856 0.0806 0.7482  7 Mg 3.06-3.12
Mg 0.4144 0.4144 0.2518  7 Mg 3.06-3.12
Mg 0.3342 0.3342 0.9975  6 Mg 3.08-3.10
Mg 0.5000 0.5000 0.5000  6 Mg 3.07
Mg 0.4144 0.9194 0.2518  7 Mg 3.06-3.12
Mg 0.0806 0.5856 0.7482  7 Mg 3.06-3.12
Pr 0.8548 0.8548 0.4355  12 Mg 3.59-3.62, 3 Pr 3.79
Pr 0.1452 0.1452 0.5645  12 Mg 3.59-3.62, 3 Pr 3.79

## Properties
E_form	-0.093	eV/atom
theoretical density	3.65	g/cm³
M_tot	0.0002	μB per atom
total energy	-2.428	eV per atom